FeSbNF2 | GGA+U | relaxed

Cell lengths 3.970, 3.970, 4.247 Å; angles 90.00, 90.00, 90.00 degrees
Fractional positions:
F  0.000  0.500  0.000
F  0.500  0.000  0.000
Sb  0.500  0.500  0.500
N  0.000  0.000  0.500
Fe  0.000  0.000  0.000

Summary:
- total DFT energy (no corrections) (eV per atom) = -4.991
- density of states at the Fermi level (states/eV/f.u.) = 0.90